1.
VASP calculation (PBE) on Ce2ScGe2Ru5 after structural relaxation.

Values from the calculation:
N(E_F) (states/eV/f.u.): 5.46
E_tot (eV for the cell shown): -156.84
Space-group type: P4/mbm, No. 127

a = 3.416 Å, b = 10.180 Å, c = 10.180 Å
α = 90.00°, β = 90.00°, γ = 90.00°
Fractional coordinates of all 20 atoms:
Sc (0.000, 0.500, 0.500)
Sc (0.000, 0.000, 0.000)
Ge (0.000, 0.374, 0.126)
Ge (0.000, 0.626, 0.874)
Ge (0.000, 0.874, 0.374)
Ge (0.000, 0.126, 0.626)
Ru (0.500, 0.000, 0.500)
Ru (0.500, 0.432, 0.290)
Ru (0.500, 0.210, 0.068)
Ru (0.500, 0.932, 0.210)
Ru (0.500, 0.568, 0.710)
Ru (0.500, 0.710, 0.432)
Ru (0.500, 0.290, 0.568)
Ru (0.500, 0.500, 0.000)
Ru (0.500, 0.068, 0.790)
Ru (0.500, 0.790, 0.932)
Ce (0.000, 0.673, 0.173)
Ce (0.000, 0.827, 0.673)
Ce (0.000, 0.327, 0.827)
Ce (0.000, 0.173, 0.327)



2.
VASP calculation (PBE) on Ba2NdSb3Pt4 after structural relaxation.

Values from the calculation:
E_form (uncorrected) (eV/atom): -0.87
N(E_F) (states/eV/f.u.): 6.08
E_tot (eV for the cell shown): -53.83
Space-group type: P-4m2, No. 115

a = 4.774 Å, b = 4.774 Å, c = 11.337 Å
α = 90.00°, β = 90.00°, γ = 90.00°
Fractional coordinates of all 10 atoms:
Pt (0.000, 0.500, 0.355)
Pt (0.500, 0.500, 0.000)
Pt (0.000, 0.000, 0.000)
Pt (0.500, 0.000, 0.645)
Ba (0.500, 0.000, 0.229)
Ba (0.000, 0.500, 0.771)
Nd (0.500, 0.500, 0.500)
Sb (0.000, 0.500, 0.118)
Sb (0.500, 0.000, 0.882)
Sb (0.000, 0.000, 0.500)



3.
VASP calculation (PBE) on HfTh2P3Ir12 after structural relaxation.

Values from the calculation:
N(E_F) (states/eV/f.u.): 10.20
E_tot (eV for the cell shown): -149.62
Space-group type: R-3m, No. 166

a = 7.475 Å, b = 7.475 Å, c = 7.475 Å
α = 66.65°, β = 66.65°, γ = 66.65°
Fractional coordinates of all 18 atoms:
Ir (0.096, 0.657, 0.657)
Ir (0.343, 0.343, 0.904)
Ir (0.858, 0.858, 0.387)
Ir (0.142, 0.613, 0.142)
Ir (0.858, 0.387, 0.858)
Ir (0.613, 0.142, 0.142)
Ir (0.387, 0.858, 0.858)
Ir (0.657, 0.096, 0.657)
Ir (0.657, 0.657, 0.096)
Ir (0.343, 0.904, 0.343)
Ir (0.904, 0.343, 0.343)
Ir (0.142, 0.142, 0.613)
Hf (0.000, 0.000, 0.000)
Th (0.603, 0.603, 0.603)
Th (0.397, 0.397, 0.397)
P (0.000, 0.500, 0.000)
P (0.500, 0.000, 0.000)
P (0.000, 0.000, 0.500)



4.
VASP calculation (PBE) on DyZrZn10 after structural relaxation.

Values from the calculation:
N(E_F) (states/eV/f.u.): 3.78
E_tot (eV for the cell shown): -28.33
Space-group type: Pmmm, No. 47

a = 4.171 Å, b = 5.257 Å, c = 9.035 Å
α = 90.00°, β = 90.00°, γ = 90.00°
Fractional coordinates of all 12 atoms:
Zn (0.000, 0.500, 0.174)
Zn (0.500, 0.500, 0.000)
Zn (0.500, 0.000, 0.500)
Zn (0.500, 0.748, 0.746)
Zn (0.000, 0.000, 0.659)
Zn (0.500, 0.252, 0.254)
Zn (0.000, 0.500, 0.826)
Zn (0.500, 0.748, 0.254)
Zn (0.000, 0.000, 0.341)
Zn (0.500, 0.252, 0.746)
Zr (0.000, 0.500, 0.500)
Dy (0.000, 0.000, 0.000)



5.
VASP calculation (PBE) on TaNi4Au after structural relaxation.

Values from the calculation:
N(E_F) (states/eV/f.u.): 3.90
E_tot (eV for the cell shown): -39.75
Space-group type: F-43m, No. 216

a = 4.769 Å, b = 4.769 Å, c = 4.769 Å
α = 60.00°, β = 60.00°, γ = 60.00°
Fractional coordinates of all 6 atoms:
Ni (0.125, 0.625, 0.625)
Ni (0.625, 0.625, 0.625)
Ni (0.625, 0.125, 0.625)
Ni (0.625, 0.625, 0.125)
Au (0.000, 0.000, 0.000)
Ta (0.250, 0.250, 0.250)



6.
VASP calculation (PBE) on Fe2Mo after structural relaxation.

Values from the calculation:
N(E_F) (states/eV/f.u.): 3.69
E_tot (eV for the cell shown): -97.05
Space-group type: Pa-3, No. 205

a = 5.666 Å, b = 5.666 Å, c = 5.666 Å
α = 90.00°, β = 90.00°, γ = 90.00°
Fractional coordinates of all 12 atoms:
Fe (0.117, 0.617, 0.883)
Fe (0.117, 0.883, 0.383)
Fe (0.383, 0.117, 0.883)
Fe (0.883, 0.117, 0.617)
Fe (0.383, 0.383, 0.383)
Fe (0.883, 0.383, 0.117)
Fe (0.617, 0.617, 0.617)
Fe (0.617, 0.883, 0.117)
Mo (0.000, 0.500, 0.500)
Mo (0.500, 0.500, 0.000)
Mo (0.000, 0.000, 0.000)
Mo (0.500, 0.000, 0.500)



7.
VASP calculation (PBE) on LiBiPdPt after structural relaxation.

Values from the calculation:
Energy above the lowest structure with this stoichiometry (meV/atom): 0
N(E_F) (states/eV/f.u.): 2.92
E_tot (eV for the cell shown): -18.60
Space-group type: I-4m2, No. 119

a = 4.295 Å, b = 4.295 Å, c = 4.877 Å
α = 116.12°, β = 116.13°, γ = 90.00°
Fractional coordinates of all 4 atoms:
Li (0.250, 0.750, 0.500)
Bi (0.750, 0.250, 0.500)
Pt (0.000, 0.000, 0.000)
Pd (0.500, 0.500, 0.000)



8.
VASP calculation (PBE) on CeMg after structural relaxation.

Values from the calculation:
N(E_F) (states/eV/f.u.): 7.13
E_tot (eV for the cell shown): -7.34
Space-group type: Pm-3m, No. 221

a = 3.822 Å, b = 3.822 Å, c = 3.822 Å
α = 90.00°, β = 90.00°, γ = 90.00°
Fractional coordinates of all 2 atoms:
Mg (0.000, 0.000, 0.000)
Ce (0.500, 0.500, 0.500)



9.
VASP calculation (PBE) on Lu2RuI after structural relaxation.

Values from the calculation:
Energy above the lowest structure with this stoichiometry (meV/atom): 0
E_form (uncorrected) (eV/atom): -0.58
N(E_F) (states/eV/f.u.): 1.96
E_tot (eV for the cell shown): -22.17
Space-group type: R-3m, No. 166

a = 3.983 Å, b = 3.983 Å, c = 8.142 Å
α = 75.84°, β = 75.84°, γ = 60.00°
Fractional coordinates of all 4 atoms:
I (0.500, 0.500, 0.500)
Lu (0.726, 0.726, 0.821)
Lu (0.274, 0.274, 0.179)
Ru (0.000, 0.000, 0.000)



10.
VASP calculation (PBE) on Pr2Ho2Th15 after structural relaxation.

Values from the calculation:
N(E_F) (states/eV/f.u.): 38.09
E_tot (eV for the cell shown): -124.97
Space-group type: R-3m, No. 166

a = 8.772 Å, b = 8.772 Å, c = 8.772 Å
α = 82.16°, β = 82.16°, γ = 82.16°
Fractional coordinates of all 19 atoms:
Th (0.000, 0.699, 0.301)
Th (0.000, 0.000, 0.500)
Th (0.699, 0.000, 0.301)
Th (0.346, 0.827, 0.346)
Th (0.301, 0.000, 0.699)
Th (0.827, 0.346, 0.346)
Th (0.699, 0.301, 0.000)
Th (0.500, 0.000, 0.000)
Th (0.654, 0.173, 0.654)
Th (0.000, 0.500, 0.000)
Th (0.301, 0.699, 0.000)
Th (0.000, 0.301, 0.699)
Th (0.654, 0.654, 0.173)
Th (0.173, 0.654, 0.654)
Th (0.346, 0.346, 0.827)
Pr (0.339, 0.339, 0.339)
Pr (0.661, 0.661, 0.661)
Ho (0.100, 0.100, 0.100)
Ho (0.900, 0.900, 0.900)



11.
VASP calculation (PBE) on Nd2Mn17C2 after structural relaxation.

Values from the calculation:
N(E_F) (states/eV/f.u.): 22.90
E_tot (eV for the cell shown): -184.23
Space-group type: C2/m, No. 12

a = 6.492 Å, b = 6.492 Å, c = 6.475 Å
α = 83.86°, β = 83.86°, γ = 84.33°
Fractional coordinates of all 21 atoms:
Mn (0.500, 0.000, 0.000)
Mn (0.000, 0.000, 0.500)
Mn (0.993, 0.718, 0.280)
Mn (0.282, 0.007, 0.720)
Mn (0.096, 0.096, 0.094)
Mn (0.345, 0.345, 0.872)
Mn (0.335, 0.867, 0.337)
Mn (0.007, 0.282, 0.720)
Mn (0.665, 0.133, 0.663)
Mn (0.269, 0.731, 0.000)
Mn (0.133, 0.665, 0.663)
Mn (0.718, 0.993, 0.280)
Mn (0.867, 0.335, 0.337)
Mn (0.731, 0.269, 0.000)
Mn (0.000, 0.500, 0.000)
Mn (0.904, 0.904, 0.906)
Mn (0.655, 0.655, 0.128)
Nd (0.357, 0.357, 0.344)
Nd (0.643, 0.643, 0.656)
C (0.000, 0.500, 0.500)
C (0.500, 0.000, 0.500)



12.
VASP calculation (PBE) on HgIr2I after structural relaxation.

Values from the calculation:
Energy above the lowest structure with this stoichiometry (meV/atom): 143
E_form (uncorrected) (eV/atom): 1.22
N(E_F) (states/eV/f.u.): 3.49
E_tot (eV for the cell shown): -29.36
Space-group type: I-42d, No. 122

a = 6.247 Å, b = 6.247 Å, c = 7.046 Å
α = 63.68°, β = 63.68°, γ = 90.00°
Fractional coordinates of all 8 atoms:
Ir (0.600, 0.125, 0.250)
Ir (0.375, 0.400, 0.750)
Ir (0.875, 0.850, 0.750)
Ir (0.150, 0.625, 0.250)
I (0.250, 0.750, 0.500)
I (0.500, 0.500, 0.000)
Hg (0.000, 0.000, 0.000)
Hg (0.750, 0.250, 0.500)